The following is a GGA-PBE calculation of TaV2HAu after structural relaxation, from Alexandria via LeMat-Bulk.

For the spin magnetization, the calculation gives 0.283 μB/atom. The value obtained for the final energy is -36.9 eV/cell.

The structure belongs to space group P4/mmm (No. 123); the cell edges are 3.9882, 3.9882 and 4.0634 Å and the angles 90.00°, 90.00° and 90.00°. The distinct sites, in fractional coordinates, are Ta at (0.0000, 0.0000, 0.0000), V at (0.0000, 0.5000, 0.5000), H at (0.0000, 0.0000, 0.5000) and Au at (0.5000, 0.5000, 0.0000).


The following is a GGA-PBE calculation of BeCdAu4 after structural relaxation, from Alexandria via LeMat-Bulk.

As for the energy above the lowest structure with this stoichiometry: 0.00 eV/f.u. For the spin magnetization, the calculation gives 0.000 μB/atom. The value obtained for the formation enthalpy at 0 K is -68 kJ/mol of formula units.

The structure belongs to space group C2/m (No. 12); the cell edges are 13.3866, 6.3180 and 5.2634 Å and the angles 90.00°, 110.01° and 90.00°. The distinct sites, in fractional coordinates, are Be at (0.9996, 0.0000, 0.2051), Cd at (0.2009, 0.5000, 0.6616), Au at (0.0000, 0.2759, 0.5000), Au at (0.1157, 0.2715, 0.1068) and Au at (0.1883, 0.0000, 0.7299).


The following is a GGA-PBE calculation of SmZr2PaN4 after structural relaxation, from Alexandria via LeMat-Bulk.

For the spin magnetization, the calculation gives 0.000 μB/atom. The formation energy from raw total energies is -1.64 eV/atom.

The structure belongs to space group P2/m (No. 10); the cell edges are 5.8695, 3.3826 and 5.9054 Å and the angles 90.00°, 109.24° and 90.00°. The distinct sites, in fractional coordinates, are Sm at (0.0000, 0.0000, 0.0000), Zr at (0.0000, 0.5000, 0.5000), Zr at (0.5000, 0.0000, 0.5000), Pa at (0.5000, 0.5000, 0.0000), N at (0.2541, 0.0000, 0.7354) and N at (0.2691, 0.5000, 0.2688).


The following is a GGA-PBE calculation of HfV2Ir5 after structural relaxation, from Alexandria via LeMat-Bulk.

For the spin magnetization, the calculation gives 0.003 μB/atom. The value obtained for the formation enthalpy at 0 K is -412 kJ/mol of formula units.

The structure belongs to space group Pbam (No. 55); the cell edges are 5.5390, 11.0986 and 3.9200 Å and the angles 90.00°, 90.00° and 90.00°. The distinct sites, in fractional coordinates, are Hf at (0.0000, 0.0000, 0.0000), V at (0.2080, 0.3605, 0.5000), Ir at (0.0000, 0.5000, 0.0000), Ir at (0.0115, 0.7469, 0.0000) and Ir at (0.2449, 0.1287, 0.5000).


Number 1: DOS(E_F) 4.4 states/eV/f.u.. Number 2: DOS(E_F) 1.4 states/eV/f.u.. Number 3: DOS(E_F) 2.8 states/eV/f.u.. Number 4: DOS(E_F) 6.7 states/eV/f.u..